No. 1
# LiReI2N, relaxed, DFT PBEsol
# - ρ: 6.6 g cm⁻³
# - Formation energy from raw total energies: 0.04 eV per atom
# - VASP energy: -27.1 eV per formula unit
data_LiReI2N
_chemical_formula_sum 'Li1 Re1 I2 N1'
_cell_length_a 5.552
_cell_length_b 5.552
_cell_length_c 3.768
_cell_angle_alpha 90.00
_cell_angle_beta 90.00
_cell_angle_gamma 90.00
_space_group_name_H-M_alt 'P 4/m m m'
_space_group_IT_number 123
_space_group_name_Hall '-P 4 2'
loop_
_atom_site_label
_atom_site_type_symbol
_atom_site_fract_x
_atom_site_fract_y
_atom_site_fract_z
_atom_site_occupancy
Li1 Li 0.000 0.000 0.000 1
Re1 Re 0.500 0.500 0.500 1
I1 I 0.000 0.500 0.500 1
N1 N 0.500 0.500 0.000 1

=====

No. 2
# Li2InAs, relaxed, DFT PBEsol
# - ΔH_f (0 K): -0.325 eV/atom
# - ρ: 4.5 g cm⁻³
# - VASP energy: -13.3 eV per formula unit
data_Li2InAs
_chemical_formula_sum 'Li4 In2 As2'
_cell_length_a 8.312
_cell_length_b 2.995
_cell_length_c 6.047
_cell_angle_alpha 90.00
_cell_angle_beta 98.64
_cell_angle_gamma 90.00
_space_group_name_H-M_alt 'C 1 2/m 1'
_space_group_IT_number 12
loop_
_space_group_symop_operation_xyz
'x,y,z'
'-x,-y,-z'
'-x,y,-z'
'x,-y,z'
'x+1/2,y+1/2,z'
'-x+1/2,-y+1/2,-z'
'-x+1/2,y+1/2,-z'
'x+1/2,-y+1/2,z'
loop_
_atom_site_label
_atom_site_type_symbol
_atom_site_fract_x
_atom_site_fract_y
_atom_site_fract_z
_atom_site_occupancy
Li1 Li 0.240 0.000 0.198 1
In1 In 0.000 0.000 0.500 1
As1 As 0.000 0.500 0.000 1

=====

No. 3
# AgPt2, relaxed, DFT PBEsol
# - ΔH_f (0 K): 0.051 eV/atom
# - ΔE to the lowest computed polymorph: 54 meV per atom
# - ρ: 17.9 g cm⁻³
# - VASP energy: -17.1 eV per formula unit
data_AgPt2
_chemical_formula_sum 'Ag4 Pt8'
_cell_length_a 4.873
_cell_length_b 5.582
_cell_length_c 7.356
_cell_angle_alpha 100.47
_cell_angle_beta 96.62
_cell_angle_gamma 107.67
_space_group_name_H-M_alt 'P -1'
_space_group_IT_number 2
loop_
_space_group_symop_operation_xyz
'x,y,z'
'-x,-y,-z'
loop_
_atom_site_label
_atom_site_type_symbol
_atom_site_fract_x
_atom_site_fract_y
_atom_site_fract_z
_atom_site_occupancy
Ag1 Ag 0.000 0.078 0.333 1
Ag2 Ag 0.497 0.336 0.834 1
Pt1 Pt 0.002 0.574 0.334 1
Pt2 Pt 0.010 0.752 0.001 1
Pt3 Pt 0.499 0.165 0.169 1
Pt4 Pt 0.500 0.000 0.500 1
Pt5 Pt 0.500 0.500 0.500 1

=====

No. 4
# K3SbS4, relaxed, DFT PBEsol
# - ΔE to the lowest computed polymorph: 0 meV per atom
# - ρ: 2.7 g cm⁻³
# - Formation energy from raw total energies: -0.89 eV per atom
# - VASP energy: -32.6 eV per formula unit
data_K3SbS4
_chemical_formula_sum 'K12 Sb4 S16'
_cell_length_a 10.561
_cell_length_b 11.254
_cell_length_c 7.645
_cell_angle_alpha 90.00
_cell_angle_beta 90.00
_cell_angle_gamma 90.00
_space_group_name_H-M_alt 'C m c 21'
_space_group_IT_number 36
loop_
_space_group_symop_operation_xyz
'x,y,z'
'-x,-y,z+1/2'
'-x,y,z'
'x,-y,z+1/2'
'x+1/2,y+1/2,z'
'-x+1/2,-y+1/2,z+1/2'
'-x+1/2,y+1/2,z'
'x+1/2,-y+1/2,z+1/2'
loop_
_atom_site_label
_atom_site_type_symbol
_atom_site_fract_x
_atom_site_fract_y
_atom_site_fract_z
_atom_site_occupancy
K1 K 0.000 0.202 0.000 1
K2 K 0.223 0.469 0.010 1
Sb1 Sb 0.000 0.256 0.501 1
S1 S 0.000 0.071 0.356 1
S2 S 0.000 0.412 0.293 1
S3 S 0.182 0.272 0.678 1